No. 1
A plane-wave DFT calculation with GGA-PBE was carried out for a relaxed structure of NbHRu2Au.

a = 4.029 Å, b = 4.029 Å, c = 3.985 Å
α = 90.00°, β = 90.00°, γ = 90.00°
Sites, in units of the cell vectors:
1 H 0.000 0.000 0.000
2 Ru 0.000 0.500 0.000
3 Ru 0.500 0.000 0.000
4 Au 0.500 0.500 0.500
5 Nb 0.000 0.000 0.500

Results
As for the space group: P4/mmm.

=====

No. 2
A plane-wave DFT calculation with GGA-PBE was carried out for a relaxed structure of NaSr2Te2.

a = 6.523 Å, b = 6.523 Å, c = 7.564 Å
α = 64.46°, β = 64.46°, γ = 90.00°
Sites, in units of the cell vectors:
1 Sr 0.750 0.250 0.500
2 Na 0.000 0.000 0.000
3 Te 0.740 0.740 0.519
4 Te 0.260 0.260 0.481
5 Sr 0.250 0.750 0.500

Results
As for the formation energy without anion corrections: -1.0417 eV per atom. As for the space group: I4/mmm.

=====

No. 3
A plane-wave DFT calculation with GGA-PBE was carried out for a relaxed structure of K4Pr3SnS8.

a = 8.383 Å, b = 8.837 Å, c = 8.382 Å
α = 118.32°, β = 120.00°, γ = 90.00°
Sites, in units of the cell vectors:
1 S 0.769 0.295 0.539
2 Pr 0.500 0.500 0.500
3 Pr 0.500 0.500 0.000
4 Pr 0.000 0.500 0.500
5 K 0.500 0.000 0.000
6 S 0.744 0.705 0.975
7 S 0.769 0.295 0.025
8 K 0.500 0.000 0.500
9 S 0.231 0.705 0.975
10 S 0.231 0.705 0.461
11 K 0.000 0.000 0.000
12 Sn 0.000 0.500 0.000
13 S 0.737 0.710 0.474
14 K 0.000 0.000 0.500
15 S 0.263 0.290 0.526
16 S 0.256 0.295 0.025

Results
As for the formation energy without anion corrections: -1.5533 eV per atom. As for the space group: R-3m.

=====

No. 4
A plane-wave DFT calculation with GGA-PBE was carried out for a relaxed structure of NdHoPa2P4.

a = 4.015 Å, b = 6.958 Å, c = 6.956 Å
α = 70.54°, β = 90.00°, γ = 90.00°
Sites, in units of the cell vectors:
1 P 0.000 0.762 0.741
2 P 0.500 0.242 0.748
3 Pa 0.500 0.000 0.500
4 Ho 0.000 0.500 0.500
5 P 0.000 0.238 0.259
6 Pa 0.000 0.000 0.000
7 Nd 0.500 0.500 0.000
8 P 0.500 0.758 0.252

Results
As for the space group: P2/m. As for the formation energy: -1434 meV per atom.

=====

No. 5
A plane-wave DFT calculation with GGA-PBE was carried out for a relaxed structure of Cs2PdIF6.

a = 7.197 Å, b = 7.197 Å, c = 6.703 Å
α = 57.53°, β = 57.53°, γ = 90.00°
Sites, in units of the cell vectors:
1 F 0.304 0.304 0.000
2 F 0.248 0.248 0.503
3 F 0.696 0.304 0.000
4 F 0.696 0.696 0.000
5 Pd 0.500 0.500 0.000
6 F 0.304 0.696 0.000
7 I 0.000 0.000 0.000
8 F 0.752 0.752 0.497
9 Cs 0.250 0.750 0.500
10 Cs 0.750 0.250 0.500

Results
As for the formation energy without anion corrections: -1.8325 eV per atom. As for the space group: I4/mmm.

=====

No. 6
A plane-wave DFT calculation with GGA-PBE was carried out for a relaxed structure of NaYO.

a = 3.228 Å, b = 6.073 Å, c = 7.063 Å
α = 90.00°, β = 90.17°, γ = 90.00°
Sites, in units of the cell vectors:
1 O 0.000 0.000 0.000
2 Y 0.501 0.750 0.092
3 O 0.000 0.500 0.000
4 Y 0.499 0.250 0.908
5 Na 0.996 0.750 0.591
6 Na 0.004 0.250 0.409

Results
As for the formation energy without anion corrections: -1.6978 eV per atom. As for the space group: P2_1/m.

=====

No. 7
A plane-wave DFT calculation with GGA-PBE was carried out for a relaxed structure of TbErGaHg.

a = 5.169 Å, b = 5.169 Å, c = 5.169 Å
α = 60.00°, β = 60.00°, γ = 60.00°
Sites, in units of the cell vectors:
1 Ga 0.750 0.750 0.750
2 Er 0.500 0.500 0.500
3 Hg 0.250 0.250 0.250
4 Tb 0.000 0.000 0.000

Results
As for the space group: F-43m. As for the formation energy: -509 meV per atom.

=====

No. 8
A plane-wave DFT calculation with GGA-PBE was carried out for a relaxed structure of KNa6Sn2.

a = 5.592 Å, b = 8.650 Å, c = 8.650 Å
α = 49.06°, β = 71.01°, γ = 71.01°
Sites, in units of the cell vectors:
1 Na 0.500 0.296 0.704
2 Na 0.292 0.944 0.471
3 Na 0.292 0.471 0.944
4 K 0.000 0.000 0.000
5 Sn 0.107 0.394 0.394
6 Na 0.708 0.529 0.056
7 Na 0.500 0.704 0.296
8 Na 0.708 0.056 0.529
9 Sn 0.893 0.606 0.606

Results
As for the space group: C2/m. As for the formation energy: -50 meV per atom.

=====

No. 9
A plane-wave DFT calculation with GGA-PBE was carried out for a relaxed structure of Tm2TeAs.

a = 4.135 Å, b = 4.135 Å, c = 14.027 Å
α = 90.00°, β = 90.00°, γ = 120.00°
Sites, in units of the cell vectors:
1 As 0.000 0.000 0.500
2 Tm 0.667 0.333 0.608
3 Tm 0.333 0.667 0.108
4 Tm 0.333 0.667 0.392
5 Te 0.667 0.333 0.250
6 As 0.000 0.000 0.000
7 Te 0.333 0.667 0.750
8 Tm 0.667 0.333 0.892

Results
As for the formation energy without anion corrections: -1.4537 eV per atom. As for the space group: P6_3/mmc.

=====

No. 10
A plane-wave DFT calculation with GGA-PBE was carried out for a relaxed structure of TlCdNi2.

a = 4.533 Å, b = 4.533 Å, c = 4.533 Å
α = 60.00°, β = 60.00°, γ = 60.00°
Sites, in units of the cell vectors:
1 Ni 0.000 0.000 0.000
2 Ni 0.250 0.250 0.250
3 Tl 0.750 0.750 0.750
4 Cd 0.500 0.500 0.500

Results
As for the space group: F-43m. As for the formation energy: 377 meV per atom.

=====

No. 11
A plane-wave DFT calculation with GGA-PBE was carried out for a relaxed structure of Fe2SiPt.

a = 2.661 Å, b = 3.842 Å, c = 5.048 Å
α = 90.00°, β = 90.00°, γ = 90.00°
Site moments in Bohr magnetons follow the coordinates.
Sites, in units of the cell vectors:
1 Pt 0.500 0.500 0.250  0.24
2 Fe 0.000 0.000 0.984  2.44
3 Fe 0.000 0.000 0.516  2.44
4 Si 0.500 0.500 0.750  -0.05

Results
As for the formation energy without anion corrections: -0.2459 eV per atom. As for the space group: Pmmm.

=====

No. 12
A plane-wave DFT calculation with GGA-PBE was carried out for a relaxed structure of TaNb6V.

a = 7.448 Å, b = 7.454 Å, c = 5.261 Å
α = 44.90°, β = 44.90°, γ = 59.93°
Site moments in Bohr magnetons follow the coordinates.
Sites, in units of the cell vectors:
1 Nb 0.500 0.247 0.253  -0.02
2 Nb 0.247 0.000 0.253  -0.02
3 Ta 0.500 0.500 0.500  0.02
4 Nb 0.000 0.499 0.253  -0.02
5 Nb 0.753 0.000 0.747  -0.02
6 V 0.000 0.000 0.000  1.10
7 Nb 0.000 0.501 0.747  -0.02
8 Nb 0.500 0.753 0.747  -0.02

Results
As for the space group: P-1. As for the formation energy: 65 meV per atom.

=====

Number 1: electronic total energy -7.09 eV per atom, volume 12.9 A^3/atom. Number 2: electronic total energy -3.23 eV per atom, volume 51.0 A^3/atom. Number 3: electronic total energy -5.04 eV per atom, volume 28.1 A^3/atom. Number 4: electronic total energy -7.68 eV per atom, volume 22.9 A^3/atom. Number 5: electronic total energy -3.80 eV per atom, volume 22.6 A^3/atom. Number 6: electronic total energy -5.94 eV per atom, volume 23.1 A^3/atom. Number 7: electronic total energy -3.64 eV per atom, volume 24.4 A^3/atom. Number 8: electronic total energy -1.94 eV per atom, volume 32.8 A^3/atom. Number 9: electronic total energy -5.64 eV per atom, volume 26.0 A^3/atom. Number 10: electronic total energy -3.33 eV per atom, volume 16.5 A^3/atom. Number 11: electronic total energy -7.34 eV per atom, volume 12.9 A^3/atom. Number 12: electronic total energy -10.11 eV per atom, volume 18.2 A^3/atom.